Entry 1:
# Nb2AlRe

A relaxed structure of Nb2AlRe (PBE, the Alexandria database).

Properties
Crystal system: tetragonal
Formation energy from the elements, eV per formula unit: 1.8
Calculated total energy, eV for the cell shown: -69.01
Total magnetic moment, μB per cell: 0.00

abc: 7.469 7.469 5.925
angles: 50.93 50.93 90.00
Fractional positions:
Al  0.500  0.500  0.000
Al  0.250  0.750  0.500
Re  0.000  0.000  0.000
Re  0.750  0.250  0.500
Nb  0.375  0.336  0.750
Nb  0.875  0.914  0.750
Nb  0.664  0.125  0.250
Nb  0.086  0.625  0.250



Entry 2:
# NbAl2Re

A relaxed structure of NbAl2Re (PBE, the Alexandria database).

Properties
Crystal system: tetragonal
Polymorph energy (0 for the lowest one), eV/f.u.: 1.11
Formation energy from the elements, eV per formula unit: 1.0
Calculated total energy, eV for the cell shown: -58.00
Total magnetic moment, μB per cell: 0.00

abc: 3.812 3.812 9.911
angles: 78.91 78.91 90.00
Fractional positions:
Nb  0.250  0.750  0.500
Nb  0.500  0.500  0.000
Al  0.875  0.879  0.750
Al  0.121  0.625  0.250
Al  0.629  0.125  0.250
Al  0.375  0.371  0.750
Re  0.000  0.000  0.000
Re  0.750  0.250  0.500



Entry 3:
# NbAlRe2

A relaxed structure of NbAlRe2 (PBE, the Alexandria database).

Properties
Crystal system: trigonal
Formation energy from the elements, eV per formula unit: 1.5
Calculated total energy, eV for the cell shown: -37.16
Total magnetic moment, μB per cell: 0.00

abc: 2.818 2.818 9.543
angles: 81.51 81.51 60.00
Fractional positions:
Nb  0.000  0.000  0.000
Al  0.500  0.500  0.500
Re  0.091  0.091  0.727
Re  0.909  0.909  0.273



Entry 4:
# TaNbAlRe

A relaxed structure of TaNbAlRe (PBE, the Alexandria database).

Properties
Crystal system: cubic
Formation energy from the elements, eV per formula unit: -0.5
Calculated total energy, eV for the cell shown: -38.59
Total magnetic moment, μB per cell: 0.00

abc: 4.530 4.530 4.530
angles: 60.00 60.00 60.00
Fractional positions:
Ta  0.000  0.000  0.000
Re  0.750  0.750  0.750
Nb  0.250  0.250  0.250
Al  0.500  0.500  0.500



Entry 5:
# TiNbAlRe

A relaxed structure of TiNbAlRe (PBE, the Alexandria database).

Properties
Crystal system: cubic
Formation energy from the elements, eV per formula unit: -1.2
Calculated total energy, eV for the cell shown: -35.33
Total magnetic moment, μB per cell: 0.19

abc: 4.483 4.483 4.483
angles: 60.00 60.00 60.00
Site moments in Bohr magnetons follow the coordinates.
Fractional positions:
Re  0.750  0.750  0.750  -0.01
Ti  0.250  0.250  0.250  0.15
Nb  0.500  0.500  0.500  0.03
Al  0.000  0.000  0.000  0.00



Entry 6:
# Nb2AlTlRe

A relaxed structure of Nb2AlTlRe (PBE, the Alexandria database).

Properties
Crystal system: tetragonal
Formation energy from the elements, eV per formula unit: 6.2
Calculated total energy, eV for the cell shown: -32.53
Total magnetic moment, μB per cell: 0.00

abc: 4.891 5.215 4.891
angles: 90.00 90.00 90.00
Fractional positions:
Re  0.000  0.000  0.000
Nb  0.500  0.000  0.000
Nb  0.000  0.000  0.500
Tl  0.000  0.500  0.000
Al  0.500  0.500  0.500



Entry 7:
# ZrNbAlRe

A relaxed structure of ZrNbAlRe (PBE, the Alexandria database).

Properties
Crystal system: cubic
Formation energy from the elements, eV per formula unit: -0.7
Calculated total energy, eV for the cell shown: -35.55
Total magnetic moment, μB per cell: 0.00

abc: 4.638 4.638 4.638
angles: 60.00 60.00 60.00
Fractional positions:
Al  0.750  0.750  0.750
Re  0.250  0.250  0.250
Nb  0.000  0.000  0.000
Zr  0.500  0.500  0.500



Entry 8:
# Nb2AlRh

A relaxed structure of Nb2AlRh (PBE, the Alexandria database).

Properties
Crystal system: tetragonal
Formation energy from the elements, eV per formula unit: -1.6
Calculated total energy, eV for the cell shown: -32.84
Total magnetic moment, μB per cell: 0.00

abc: 4.309 3.895 3.895
angles: 90.00 90.00 90.00
Fractional positions:
Nb  0.000  0.500  0.000
Nb  0.000  0.000  0.500
Rh  0.500  0.500  0.500
Al  0.500  0.000  0.000



Entry 9:
# Nb2AlRh9

A relaxed structure of Nb2AlRh9 (PBE, the Alexandria database).

Properties
Crystal system: tetragonal
Formation energy from the elements, eV per formula unit: -6.1
Calculated total energy, eV for the cell shown: -96.19
Total magnetic moment, μB per cell: 0.00

abc: 3.894 3.894 11.579
angles: 90.00 90.00 90.00
Fractional positions:
Rh  0.000  0.500  0.500
Rh  0.500  0.000  0.836
Rh  0.000  0.500  0.164
Rh  0.500  0.500  0.667
Rh  0.500  0.000  0.164
Rh  0.500  0.500  0.333
Rh  0.000  0.500  0.836
Rh  0.500  0.000  0.500
Rh  0.500  0.500  0.000
Nb  0.000  0.000  0.673
Nb  0.000  0.000  0.327
Al  0.000  0.000  0.000



Entry 10:
# NbAlRh3

A relaxed structure of NbAlRh3 (PBE, the Alexandria database).

Properties
Crystal system: cubic
Polymorph energy (0 for the lowest one), eV/f.u.: 0.00
Formation energy from the elements, eV per formula unit: 1.8
Calculated total energy, eV for the cell shown: -34.04
Total magnetic moment, μB per cell: 0.00

abc: 4.386 4.386 4.386
angles: 90.00 90.00 90.00
Fractional positions:
Rh  0.000  0.500  0.000
Rh  0.000  0.000  0.500
Rh  0.500  0.000  0.000
Nb  0.500  0.500  0.500
Al  0.000  0.000  0.000



Entry 11:
# NbAlRh

A relaxed structure of NbAlRh (PBE, the Alexandria database).

Properties
Crystal system: tetragonal
Formation energy from the elements, eV per formula unit: -1.9
Calculated total energy, eV for the cell shown: -23.07
Total magnetic moment, μB per cell: 0.00

abc: 2.938 2.938 5.745
angles: 104.82 104.82 90.00
Fractional positions:
Rh  0.679  0.679  0.358
Nb  0.002  0.002  0.004
Al  0.319  0.319  0.638



Entry 12:
# NbAlRh

A relaxed structure of NbAlRh (PBE, the Alexandria database).

Properties
Crystal system: orthorhombic
Formation energy from the elements, eV per formula unit: -0.5
Calculated total energy, eV for the cell shown: -86.59
Total magnetic moment, μB per cell: 0.00

abc: 5.698 5.698 7.798
angles: 114.16 114.16 83.08
Fractional positions:
Rh  0.099  0.599  0.500
Rh  0.849  0.849  0.000
Rh  0.401  0.901  0.500
Rh  0.151  0.151  0.000
Nb  0.625  0.375  0.750
Nb  0.625  0.375  0.250
Nb  0.625  0.875  0.250
Nb  0.125  0.375  0.750
Al  0.836  0.836  0.671
Al  0.086  0.586  0.171
Al  0.164  0.164  0.329
Al  0.414  0.914  0.829



Entry 13:
# Nb2AlRh6

A relaxed structure of Nb2AlRh6 (PBE, the Alexandria database).

Properties
Crystal system: orthorhombic
Formation energy from the elements, eV per formula unit: -2.0
Calculated total energy, eV for the cell shown: -69.96
Total magnetic moment, μB per cell: 0.00

abc: 4.189 6.030 7.156
angles: 114.92 106.99 90.00
Fractional positions:
Rh  0.500  0.767  0.000
Rh  0.165  0.920  0.331
Rh  0.165  0.410  0.331
Rh  0.835  0.590  0.669
Rh  0.500  0.233  0.000
Rh  0.835  0.080  0.669
Nb  0.340  0.340  0.680
Nb  0.660  0.660  0.320
Al  0.000  0.000  0.000



Entry 14:
# Nb6AlRh

A relaxed structure of Nb6AlRh (PBE, the Alexandria database).

Properties
Crystal system: trigonal
Formation energy from the elements, eV per formula unit: -2.1
Calculated total energy, eV for the cell shown: -73.63
Total magnetic moment, μB per cell: 0.00

abc: 7.341 7.339 5.193
angles: 45.03 45.00 60.01
Fractional positions:
Rh  0.000  0.000  0.000
Nb  0.248  0.999  0.253
Nb  0.752  0.001  0.747
Nb  0.999  0.500  0.253
Nb  0.500  0.752  0.747
Nb  0.500  0.248  0.253
Nb  0.001  0.500  0.747
Al  0.500  0.500  0.500



Entry 15:
# NbAl3Rh2

A relaxed structure of NbAl3Rh2 (PBE, the Alexandria database).

Properties
Crystal system: tetragonal
Formation energy from the elements, eV per formula unit: -5.0
Calculated total energy, eV for the cell shown: -40.98
Total magnetic moment, μB per cell: 0.00

abc: 2.977 2.977 9.908
angles: 90.00 90.00 90.00
Fractional positions:
Al  0.000  0.000  0.696
Al  0.000  0.000  0.304
Al  0.000  0.000  0.000
Rh  0.500  0.500  0.847
Rh  0.500  0.500  0.153
Nb  0.500  0.500  0.500



Entry 16:
# Nb3AlRh

A relaxed structure of Nb3AlRh (PBE, the Alexandria database).

Properties
Crystal system: cubic
Polymorph energy (0 for the lowest one), eV/f.u.: 0.00
Formation energy from the elements, eV per formula unit: 4.6
Calculated total energy, eV for the cell shown: -36.72
Total magnetic moment, μB per cell: 0.00

abc: 4.809 4.809 4.809
angles: 90.00 90.00 90.00
Fractional positions:
Nb  0.000  0.000  0.500
Nb  0.500  0.000  0.000
Nb  0.000  0.500  0.000
Rh  0.000  0.000  0.000
Al  0.500  0.500  0.500



Entry 17:
# Nb5Al3Rh12

A relaxed structure of Nb5Al3Rh12 (PBE, the Alexandria database).

Properties
Crystal system: cubic
Formation energy from the elements, eV per formula unit: 2.8
Calculated total energy, eV for the cell shown: -588.04
Total magnetic moment, μB per cell: 0.00

abc: 12.515 12.515 12.515
angles: 109.47 109.47 109.47
Fractional positions:
Rh  0.102  0.934  0.368
Rh  0.434  0.066  0.332
Rh  0.434  0.668  0.066
Rh  0.398  0.266  0.332
Rh  0.832  0.934  0.066
Rh  0.168  0.102  0.734
Rh  0.602  0.734  0.668
Rh  0.632  0.066  0.234
Rh  0.668  0.234  0.602
Rh  0.934  0.832  0.566
Rh  0.234  0.668  0.102
Rh  0.934  0.368  0.266
Rh  0.066  0.632  0.734
Rh  0.632  0.566  0.898
Rh  0.168  0.066  0.934
Rh  0.066  0.168  0.434
Rh  0.766  0.434  0.368
Rh  0.132  0.398  0.066
Rh  0.734  0.132  0.066
Rh  0.066  0.898  0.132
Rh  0.602  0.868  0.434
Rh  0.832  0.898  0.266
Rh  0.868  0.602  0.934
Rh  0.266  0.868  0.934
Rh  0.868  0.266  0.434
Rh  0.766  0.332  0.898
Rh  0.668  0.434  0.566
Rh  0.102  0.168  0.234
Rh  0.066  0.434  0.832
Rh  0.368  0.934  0.766
Rh  0.566  0.632  0.398
Rh  0.934  0.102  0.868
Rh  0.566  0.332  0.934
Rh  0.368  0.434  0.102
Rh  0.898  0.832  0.766
Rh  0.566  0.234  0.132
Rh  0.332  0.766  0.398
Rh  0.266  0.398  0.832
Rh  0.734  0.602  0.168
Rh  0.332  0.566  0.434
Rh  0.934  0.566  0.168
Rh  0.234  0.566  0.632
Rh  0.398  0.132  0.566
Rh  0.434  0.766  0.868
Rh  0.898  0.066  0.632
Rh  0.434  0.368  0.602
Rh  0.132  0.734  0.566
Rh  0.566  0.934  0.668
Nb  0.875  0.250  0.625
Nb  0.000  0.000  0.500
Nb  0.750  0.625  0.375
Nb  0.375  0.125  0.750
Nb  0.500  0.000  0.500
Nb  0.125  0.750  0.375
Nb  0.500  0.000  0.000
Nb  0.875  0.625  0.750
Nb  0.250  0.875  0.125
Nb  0.000  0.500  0.000
Nb  0.625  0.750  0.875
Nb  0.250  0.375  0.625
Nb  0.750  0.125  0.875
Nb  0.500  0.500  0.500
Nb  0.000  0.500  0.500
Nb  0.000  0.000  0.000
Nb  0.500  0.500  0.000
Nb  0.125  0.375  0.250
Nb  0.625  0.875  0.250
Nb  0.375  0.250  0.125
Al  0.625  0.375  0.750
Al  0.750  0.875  0.625
Al  0.375  0.625  0.250
Al  0.375  0.750  0.625
Al  0.875  0.750  0.125
Al  0.125  0.250  0.875
Al  0.250  0.625  0.875
Al  0.125  0.875  0.750
Al  0.875  0.125  0.250
Al  0.625  0.250  0.375
Al  0.750  0.375  0.125
Al  0.250  0.125  0.375



Entry 18:
# Nb3AlRh

A relaxed structure of Nb3AlRh (PBE, the Alexandria database).

Properties
Crystal system: cubic
Polymorph energy (0 for the lowest one), eV/f.u.: 1.41
Formation energy from the elements, eV per formula unit: 6.0
Calculated total energy, eV for the cell shown: -35.31
Total magnetic moment, μB per cell: 0.00

abc: 4.644 4.644 4.644
angles: 90.00 90.00 90.00
Fractional positions:
Rh  0.500  0.500  0.500
Nb  0.000  0.000  0.500
Nb  0.500  0.000  0.000
Nb  0.000  0.500  0.000
Al  0.000  0.000  0.000



Entry 19:
# NbAlRh3

A relaxed structure of NbAlRh3 (PBE, the Alexandria database).

Properties
Crystal system: cubic
Polymorph energy (0 for the lowest one), eV/f.u.: 2.56
Formation energy from the elements, eV per formula unit: 4.4
Calculated total energy, eV for the cell shown: -31.48
Total magnetic moment, μB per cell: 0.00

abc: 4.710 4.710 4.710
angles: 90.00 90.00 90.00
Fractional positions:
Rh  0.000  0.500  0.000
Rh  0.500  0.000  0.000
Rh  0.000  0.000  0.500
Nb  0.000  0.000  0.000
Al  0.500  0.500  0.500



Entry 20:
# Nb2AlRh2

A relaxed structure of Nb2AlRh2 (PBE, the Alexandria database).

Properties
Crystal system: tetragonal
Formation energy from the elements, eV per formula unit: -1.9
Calculated total energy, eV for the cell shown: -80.88
Total magnetic moment, μB per cell: 0.00

abc: 7.473 7.473 3.013
angles: 90.00 90.00 90.00
Fractional positions:
Nb  0.670  0.830  0.500
Nb  0.330  0.170  0.500
Nb  0.830  0.330  0.500
Nb  0.170  0.670  0.500
Al  0.500  0.500  0.000
Al  0.000  0.000  0.000
Rh  0.371  0.871  0.000
Rh  0.129  0.371  0.000
Rh  0.871  0.629  0.000
Rh  0.629  0.129  0.000